Entry 1:
Here is a relaxed structure of Ba3As from Alexandria via LeMat-Bulk. Energies are from PBE-GGA.

Lattice parameters (Å, degrees): 5.0408 5.2765 7.4490 90.00 90.00 90.00
Sites, in units of the cell vectors:
Ba 0.0000 0.0000 0.0000
Ba 0.0000 0.5000 0.4778
Ba 0.5000 0.0000 0.4260
As 0.5000 0.5000 0.1784

Output
DFT formation energy (eV/atom): -0.391
Relative energy among the computed polymorphs (eV per atom): 0.225
Energy (eV per atom): -2.996
Volume (Å³/f.u.): 198.13

=====

Entry 2:
Here is a relaxed structure of Ba5As3 from Alexandria via LeMat-Bulk. Energies are from PBE-GGA.

Lattice parameters (Å, degrees): 8.1606 8.1606 5.1451 90.00 90.00 114.82
Sites, in units of the cell vectors:
Ba 0.0000 0.0000 0.0000
Ba 0.0000 0.5000 0.0000
Ba 0.2856 0.2856 0.5000
Ba 0.5000 0.0000 0.0000
Ba 0.7144 0.7144 0.5000
As 0.1671 0.8329 0.5000
As 0.5000 0.5000 0.0000
As 0.8329 0.1671 0.5000

Output
DFT formation energy (eV/atom): -0.882
Relative energy among the computed polymorphs (eV per atom): 0.129
Energy (eV per atom): -3.828
Volume (Å³/f.u.): 311.00

=====

Entry 3:
Here is a relaxed structure of BaAs4 from Alexandria via LeMat-Bulk. Energies are from PBE-GGA.

Lattice parameters (Å, degrees): 6.0063 6.0063 6.0063 109.47 109.47 109.47
Sites, in units of the cell vectors:
Ba 0.0000 0.0000 0.0000
As 0.0000 0.0000 0.5000
As 0.0000 0.5000 0.0000
As 0.5000 0.0000 0.0000
As 0.5000 0.5000 0.5000

Output
DFT formation energy (eV/atom): 0.748
Relative energy among the computed polymorphs (eV per atom): 0.969
Energy (eV per atom): -3.356
Volume (Å³/f.u.): 166.80

=====

Entry 4:
Here is a relaxed structure of BaAs5 from Alexandria via LeMat-Bulk. Energies are from PBE-GGA.

Lattice parameters (Å, degrees): 6.6013 6.6013 7.5244 115.67 115.67 32.64
Sites, in units of the cell vectors:
Ba 0.0000 0.0000 0.0000
As 0.2474 0.2474 0.7109
As 0.3531 0.3531 0.2129
As 0.6856 0.6856 0.4436
As 0.7105 0.7105 0.9462
As 0.8866 0.8866 0.4772

Output
DFT formation energy (eV/atom): -0.238
Relative energy among the computed polymorphs (eV per atom): 0.000
Energy (eV per atom): -4.433
Volume (Å³/f.u.): 157.79